1.
Mg4HAu2: optimized geometry, GGA-PBE.

a = 4.021 Å, b = 4.021 Å, c = 15.095 Å
α = 90.00°, β = 90.00°, γ = 90.00°
Fractional coordinates of all 14 atoms:
Mg  0.000  0.000  0.184
Mg  0.000  0.000  0.816
Mg  0.000  0.500  0.000
Mg  0.000  0.500  0.500
Mg  0.500  0.000  0.000
Mg  0.500  0.000  0.500
Mg  0.500  0.500  0.316
Mg  0.500  0.500  0.684
H  0.000  0.000  0.000
H  0.500  0.500  0.500
Au  0.000  0.000  0.367
Au  0.000  0.000  0.633
Au  0.500  0.500  0.133
Au  0.500  0.500  0.867

Calculated total energy (eV per cell): -37.58
Total moment (μB per atom): 0.00
SG: I4/mmm

---

2.
NaTiAs2Se: optimized geometry, GGA-PBE.

a = 4.872 Å, b = 4.872 Å, c = 4.978 Å
α = 90.00°, β = 90.00°, γ = 90.00°
Fractional coordinates of all 5 atoms:
Na  0.000  0.000  0.000
Ti  0.500  0.500  0.500
As  0.000  0.500  0.000
As  0.500  0.000  0.000
Se  0.000  0.000  0.500

Calculated total energy (eV per cell): -17.22
Relative energy among the computed polymorphs (meV/atom): 1308
Total moment (μB per atom): 0.01
SG: P4/mmm

---

3.
Na2AgSnH: optimized geometry, GGA-PBE.

a = 5.099 Å, b = 5.099 Å, c = 3.809 Å
α = 90.00°, β = 90.00°, γ = 90.00°
Fractional coordinates of all 5 atoms:
Na  0.000  0.500  0.000
Na  0.500  0.000  0.000
Ag  0.000  0.000  0.500
Sn  0.500  0.500  0.500
H  0.000  0.000  0.000

Calculated total energy (eV per cell): -12.89
Relative energy among the computed polymorphs (meV/atom): 0
Total moment (μB per atom): 0.00
SG: P4/mmm